The following is a DFT calculation (PBE with a Hubbard U) of a relaxed structure of Na2CoBiO4.

Lattice parameters (Å, degrees): 5.7225 5.7225 6.8877 90.00 90.00 90.00
Last column: nearest neighbours and their distance in Å.
Space group I-4 (No. 82)
One atom of each set of equivalent atoms:
Na 0.0000 0.0000 0.0000 [2 per cell]  4 O 2.33
Na 0.0000 0.5000 0.2500 [2 per cell]  4 O 2.43
Co 0.0000 0.0000 0.5000 [2 per cell]  4 O 1.85
Bi 0.0000 0.5000 0.7500 [2 per cell]  4 O 2.30
O 0.2107 0.7719 0.5761 [8 per cell]  1 Co 1.85

DOS(E_F) (states/eV/cell): 0.09
VASP energy (eV/atom): -5.141
Density (kg/m3): 5564